A plane-wave DFT calculation with PBE was carried out for AcSnRh after structural relaxation.

The total energy comes out at -17.230 eV/cell. The calculation puts the mass density at 8.837 Mg/m³. The formation energy from the elements comes out at -589 meV/atom.

The structure in extended XYZ format:
```
3
Lattice="-2.175 -4.395 0.421 0.006 -2.344 4.328 -4.178 -0.443 2.564" Properties=species:S:1:pos:R:3 pbc="T T T"
Ac 0.000 0.000 0.000
Rh -1.587 -1.795 1.828
Sn -3.173 -3.591 3.656
```


A plane-wave DFT calculation with PBE was carried out for H3PtRh after structural relaxation.

The total energy comes out at -22.184 eV/cell. The calculation puts the mass density at 12.309 Mg/m³.

The structure in extended XYZ format:
```
5
Lattice="-0.493 1.093 3.221 -2.370 -2.446 0.467 2.441 -2.154 1.104" Properties=species:S:1:pos:R:3 pbc="T T T"
H -1.185 -1.223 0.233
H 1.220 -1.077 0.552
H -0.247 0.546 1.611
Rh 0.000 0.000 0.000
Pt -0.211 -1.753 2.396
```


A plane-wave DFT calculation with PBE was carried out for ZrTaS2Cl after structural relaxation.

The total energy comes out at -31.255 eV/cell. The calculation puts the mass density at 5.681 Mg/m³. The formation energy from raw total energies comes out at -0.151 eV per atom.

The structure in extended XYZ format:
```
5
Lattice="4.794 0.000 0.000 0.000 4.794 0.000 0.000 0.000 4.728" Properties=species:S:1:pos:R:3 pbc="T T T"
S 0.000 2.397 0.000
S 2.397 0.000 0.000
Cl 0.000 0.000 2.364
Zr 2.397 2.397 2.364
Ta 0.000 0.000 0.000
```


A plane-wave DFT calculation with PBE was carried out for BaCdFe3 after structural relaxation.

The total energy comes out at -17.546 eV/cell. The calculation puts the mass density at 5.635 Mg/m³. The formation energy from the elements comes out at 2136 meV/atom.

The structure in extended XYZ format:
```
5
Lattice="4.973 0.000 0.000 0.000 4.973 0.000 0.000 0.000 4.973" Properties=species:S:1:pos:R:3 pbc="T T T"
Fe 0.000 2.486 0.000
Fe 0.000 0.000 2.486
Fe 2.486 0.000 0.000
Ba 0.000 0.000 0.000
Cd 2.486 2.486 2.486
```


A plane-wave DFT calculation with PBE was carried out for Ag12Au3O5 after structural relaxation.

The total energy comes out at -266.184 eV/cell. The calculation puts the mass density at 8.741 Mg/m³. The formation energy from raw total energies comes out at 0.115 eV per atom.

The structure in extended XYZ format:
```
80
Lattice="12.472 0.000 0.000 -4.157 11.759 0.000 -4.157 -5.879 10.183" Properties=species:S:1:pos:R:3 pbc="T T T"
Au 7.275 3.675 1.273
Au 7.275 8.084 1.273
Au -1.039 5.144 6.365
Au 1.039 -0.735 3.819
Au 9.354 0.000 2.546
Au 1.039 5.879 2.546
Au 3.118 0.000 7.638
Au -5.197 5.879 7.638
Au 3.118 6.614 6.365
Au 5.197 0.735 3.819
Au -3.118 -2.205 8.910
Au -3.118 2.205 8.910
O -1.039 2.940 2.546
O -2.079 5.879 0.000
O 0.000 0.000 0.000
O 3.118 2.205 1.273
O 4.157 -2.940 5.092
O 4.157 5.879 0.000
O -3.118 6.614 3.819
O 5.197 -3.675 8.910
O 5.197 5.144 3.819
O 1.039 -2.940 7.638
O 3.118 8.819 2.546
O 2.079 2.940 5.092
O 6.236 0.000 0.000
O -2.079 -2.940 5.092
O -1.039 0.735 6.365
O -1.039 9.554 1.273
O -4.157 2.940 5.092
O 7.275 -0.735 6.365
O 1.039 3.675 8.910
O 5.197 2.940 7.638
Ag 8.202 1.205 0.293
Ag 0.112 3.796 4.195
Ag 9.299 2.778 2.992
Ag 5.252 1.738 1.190
Ag 1.598 4.321 6.898
Ag 8.931 5.872 1.807
Ag -0.984 6.920 4.182
Ag -3.173 10.021 1.190
Ag 0.480 7.438 6.898
Ag 5.620 5.887 1.807
Ag 6.348 3.288 3.902
Ag 6.348 10.554 0.293
Ag -3.677 5.195 5.385
Ag 2.695 4.318 0.910
Ag -4.270 8.470 3.902
Ag 2.191 -2.084 5.989
Ag -0.480 0.874 2.100
Ag 2.695 7.448 0.897
Ag 5.252 8.981 2.992
Ag -0.616 4.311 0.897
Ag -2.559 6.753 8.084
Ag 3.063 4.839 4.182
Ag 5.756 6.564 5.385
Ag 4.774 -1.561 9.274
Ag 1.094 1.041 6.002
Ag -1.598 -0.684 4.799
Ag -0.616 7.440 0.910
Ag -1.094 -3.101 7.191
Ag 6.716 -0.874 2.100
Ag 4.774 1.568 9.286
Ag 1.462 -1.568 9.286
Ag 1.966 7.963 4.195
Ag 4.638 5.005 8.084
Ag 8.427 -2.591 6.281
Ag 7.834 0.684 4.799
Ag -2.191 -4.675 9.891
Ag 1.462 1.561 9.274
Ag 3.677 -1.558 3.285
Ag -1.462 -0.007 8.377
Ag -2.191 2.591 6.281
Ag 7.330 -4.142 8.994
Ag 5.142 -1.041 6.002
Ag -1.094 4.142 8.994
Ag -4.774 0.007 8.377
Ag 2.559 1.558 3.285
Ag -5.142 3.101 7.191
Ag 4.045 2.084 5.989
Ag -4.045 4.675 9.891
```


A plane-wave DFT calculation with PBE was carried out for Er12In6Pd after structural relaxation.

The total energy comes out at -81.117 eV/cell. The calculation puts the mass density at 9.091 Mg/m³. The formation energy from the elements comes out at -249 meV/atom.

The structure in extended XYZ format:
```
19
Lattice="7.943 0.607 0.727 -0.604 7.944 0.727 -0.604 -0.704 7.946" Properties=species:S:1:pos:R:3 pbc="T T T"
Er 5.805 4.393 4.473
Er 2.694 6.286 5.122
Er 3.462 3.257 7.100
Er 0.930 3.454 4.927
Er 4.041 1.561 4.279
Er 3.273 4.590 2.300
Er -0.071 0.861 2.997
Er 5.873 4.909 8.805
Er 3.962 7.493 8.017
Er 6.805 6.985 6.404
Er 0.862 2.937 0.595
Er 2.773 0.354 1.383
In 5.080 7.298 3.224
In 5.658 2.542 1.643
In 0.291 5.769 2.795
In 1.655 0.549 6.176
In 1.077 5.304 7.757
In 6.444 2.077 6.605
Pd 0.000 0.000 0.000
```


A plane-wave DFT calculation with PBE was carried out for BeMoIr2 after structural relaxation.

The total energy comes out at -31.761 eV/cell. The calculation puts the mass density at 14.622 Mg/m³. The formation energy from the elements comes out at 130 meV/atom.

The structure in extended XYZ format:
```
4
Lattice="-2.423 0.606 3.480 1.353 -1.389 3.820 1.217 2.812 2.993" Properties=species:S:1:pos:R:3 pbc="T T T"
Be 0.073 1.015 5.147
Mo 0.110 1.522 7.720
Ir 0.000 0.000 0.000
Ir 0.037 0.507 2.573
```


A plane-wave DFT calculation with PBE was carried out for KMgPb2 after structural relaxation.

The total energy comes out at -10.308 eV/cell. The calculation puts the mass density at 5.350 Mg/m³. The formation energy from the elements comes out at -50 meV/atom.

The structure in extended XYZ format:
```
4
Lattice="5.003 0.000 0.000 2.501 4.332 0.000 2.501 1.444 6.843" Properties=species:S:1:pos:R:3 pbc="T T T"
K 5.003 2.888 3.581
Mg 7.504 4.332 6.631
Pb 2.501 1.444 5.901
Pb 2.501 1.444 0.993
```


A plane-wave DFT calculation with PBE was carried out for Li2TiHg2 after structural relaxation.

The total energy comes out at -25.531 eV/cell. The calculation puts the mass density at 8.853 Mg/m³. The formation energy from the elements comes out at -88 meV/atom.

The structure in extended XYZ format:
```
10
Lattice="-5.975 2.261 -4.028 3.841 -1.228 -6.386 -1.035 -2.863 -0.072" Properties=species:S:1:pos:R:3 pbc="T T T"
Li 1.106 -0.220 -7.166
Li -2.891 1.233 -7.501
Li -3.240 1.253 -3.248
Li 0.757 -0.201 -2.913
Hg 1.013 -1.857 -5.129
Hg -1.455 -0.893 -8.006
Hg -4.182 0.027 -5.357
Hg -1.714 -0.938 -2.480
Ti 0.000 0.000 0.000
Ti -1.067 0.516 -5.207
```


A plane-wave DFT calculation with PBE was carried out for BaCd2Se after structural relaxation.

The total energy comes out at -9.947 eV/cell. The calculation puts the mass density at 5.648 Mg/m³. The formation energy from raw total energies comes out at -0.677 eV per atom.

The structure in extended XYZ format:
```
4
Lattice="-0.919 1.590 -4.872 2.365 -1.370 -4.432 -3.677 -4.562 -3.242" Properties=species:S:1:pos:R:3 pbc="T T T"
Ba -0.675 -1.204 -3.058
Cd -3.323 -4.168 -3.231
Cd -1.784 -3.416 -9.663
Se -1.242 -2.287 -6.107
```


A plane-wave DFT calculation with PBE was carried out for GdZnInCo after structural relaxation.

The total energy comes out at -25.774 eV/cell. The calculation puts the mass density at 8.756 Mg/m³. The formation energy from the elements comes out at -144 meV/atom.

The structure in extended XYZ format:
```
4
Lattice="4.737 0.000 0.000 2.369 4.103 0.000 2.369 1.368 3.868" Properties=species:S:1:pos:R:3 pbc="T T T"
Zn 4.737 2.735 1.934
Gd 2.369 1.368 0.967
Co 0.000 0.000 0.000
In 7.106 4.103 2.901
```


A plane-wave DFT calculation with PBE was carried out for InHgW2 after structural relaxation.

The total energy comes out at -25.949 eV/cell. The calculation puts the mass density at 15.390 Mg/m³. The formation energy from the elements comes out at 749 meV/atom.

The structure in extended XYZ format:
```
4
Lattice="5.140 0.000 -0.008 4.354 2.733 -0.008 0.500 0.144 5.246" Properties=species:S:1:pos:R:3 pbc="T T T"
Hg 4.970 1.431 2.565
In 2.521 0.726 1.358
W 9.966 2.869 5.107
W 7.527 2.167 4.045
```


A plane-wave DFT calculation with PBE was carried out for Be2PtF after structural relaxation.

The total energy comes out at -40.128 eV/cell. The calculation puts the mass density at 8.330 Mg/m³. The formation energy from raw total energies comes out at -1.175 eV per atom.

The structure in extended XYZ format:
```
8
Lattice="-2.797 1.370 2.182 -1.637 -1.918 -0.894 3.596 -5.893 6.062" Properties=species:S:1:pos:R:3 pbc="T T T"
Be 0.550 -3.305 6.087
Be -1.550 -0.891 0.745
Be -1.023 -2.537 3.314
Be 1.370 -2.983 3.892
Pt 1.242 -4.664 7.737
Pt 1.233 -5.136 4.760
F -0.933 -1.271 4.436
F -1.079 -1.857 1.957
```


A plane-wave DFT calculation with PBE was carried out for Tl3CdAg2F9 after structural relaxation.

The total energy comes out at -54.972 eV/cell. The calculation puts the mass density at 6.968 Mg/m³. The formation energy from raw total energies comes out at -1.628 eV per atom.

The structure in extended XYZ format:
```
15
Lattice="6.298 0.000 0.000 -3.149 5.454 0.000 0.000 0.000 7.717" Properties=species:S:1:pos:R:3 pbc="T T T"
Tl 0.000 3.636 5.137
Tl 0.000 0.000 0.000
Tl 3.149 1.818 2.580
Cd 0.000 0.000 3.858
Ag 0.000 3.636 1.255
Ag 3.149 1.818 6.462
F 4.729 0.906 5.159
F 3.149 3.642 5.159
F 1.569 0.906 5.159
F 1.580 4.548 2.558
F 0.000 1.812 2.558
F -1.580 4.548 2.558
F 3.149 0.000 0.000
F -1.574 2.727 0.000
F 1.574 2.727 0.000
```


A plane-wave DFT calculation with PBE was carried out for LaMgI2N after structural relaxation.

The total energy comes out at -19.264 eV/cell. The calculation puts the mass density at 5.423 Mg/m³. The formation energy from raw total energies comes out at -0.263 eV per atom.

The structure in extended XYZ format:
```
5
Lattice="-3.288 3.699 2.946 -3.612 -4.281 1.344 2.108 -0.746 3.290" Properties=species:S:1:pos:R:3 pbc="T T T"
I -1.806 -2.140 0.672
I -1.644 1.850 1.473
Mg 0.000 0.000 0.000
N 1.054 -0.373 1.645
La -2.396 -0.664 3.790
```


A plane-wave DFT calculation with PBE was carried out for La8GaRh2 after structural relaxation.

The total energy comes out at -60.764 eV/cell. The calculation puts the mass density at 6.732 Mg/m³. The formation energy from the elements comes out at -329 meV/atom.

The structure in extended XYZ format:
```
11
Lattice="-3.018 4.463 -2.204 0.706 -4.688 -6.843 -5.407 -2.590 5.776" Properties=species:S:1:pos:R:3 pbc="T T T"
Rh -2.529 -1.891 -4.417
Rh -5.220 -0.967 1.138
Ga -3.029 4.433 -2.204
La -1.954 0.641 -2.980
La -3.433 1.149 0.073
La -2.401 -2.039 -0.824
La -3.980 -3.108 2.795
La -0.752 -4.216 -3.869
La -5.350 -0.820 -2.455
La -4.315 -4.006 -3.352
La -5.795 -3.498 -0.298
```


A plane-wave DFT calculation with PBE was carried out for Nd2ErGa after structural relaxation.

The total energy comes out at -18.040 eV/cell. The calculation puts the mass density at 7.830 Mg/m³. The formation energy from the elements comes out at -229 meV/atom.

The structure in extended XYZ format:
```
4
Lattice="4.847 0.000 0.000 0.000 4.795 0.000 0.000 0.000 4.795" Properties=species:S:1:pos:R:3 pbc="T T T"
Nd 0.000 0.000 2.398
Nd 0.000 2.398 0.000
Ga 2.423 0.000 0.000
Er 2.423 2.398 2.398
```


A plane-wave DFT calculation with PBE was carried out for La2NiSe after structural relaxation.

The total energy comes out at -23.146 eV/cell. The calculation puts the mass density at 6.248 Mg/m³. The formation energy from raw total energies comes out at -1.006 eV per atom.

The structure in extended XYZ format:
```
4
Lattice="4.114 0.000 0.000 2.057 3.563 0.000 2.057 1.188 7.532" Properties=species:S:1:pos:R:3 pbc="T T T"
La 2.057 1.188 5.866
La 2.057 1.188 1.664
Ni 6.172 3.563 7.517
Se 4.114 2.375 3.782
```


A plane-wave DFT calculation with PBE was carried out for Pr3GeCl2 after structural relaxation.

The total energy comes out at -30.500 eV/cell. The calculation puts the mass density at 5.881 Mg/m³. The formation energy from raw total energies comes out at -1.309 eV per atom.

The structure in extended XYZ format:
```
6
Lattice="-2.743 3.104 -1.398 -3.411 -4.142 -2.501 -0.158 0.020 7.188" Properties=species:S:1:pos:R:3 pbc="T T T"
Pr -3.505 1.201 -0.712
Pr -2.808 -2.219 4.000
Pr -1.450 1.562 2.895
Ge -3.156 -0.509 1.644
Cl -5.172 -0.865 -2.024
Cl -1.140 -0.154 5.313
```


For each record above, in turn, the calculated magnetic moment values are 0.00; 0.00; 2.44; 7.50; 0.00; 0.00; 0.00; 0.00; 1.40; 0.00; 8.20; 0.00; 0.00; 0.00; 0.20; 0.00; 0.00; 0.00; 0.00 μB/f.u..